(1)
The following is a DFT calculation (PBE-GGA) of an optimized crystal structure of HPbSeBr2.

As for the density of states at the Fermi level: 3.07 states/eV/f.u. Its size of the total moment is 0.180 μB per atom. The value obtained for the polymorph energy (0 for the lowest one) is 0 meV/atom.

Cell: 5.5855 5.5855 3.6631 Å, 90.00 90.00 90.00°
Element x y z (fractional)
Pb 0.5000 0.5000 0.5000
Se 0.0000 0.0000 0.5000
Br 0.0000 0.5000 0.0000
H 0.0000 0.0000 0.0000
Br 0.5000 0.0000 0.0000

(2)
The following is a DFT calculation (PBE-GGA) of an optimized crystal structure of Ce3Pu4Ru4.

As for the density of states at the Fermi level: 22.21 states/eV/f.u. Its size of the total moment is 0.001 μB per atom. The total energy comes out at -10.28 eV/atom.

Cell: 3.2996 10.1938 8.4663 Å, 127.01 101.24 90.00°
Element x y z (fractional)
Pu 0.6888 0.9156 0.3776
Ce 0.8914 0.8914 0.7828
Pu 0.3112 0.5380 0.6224
Pu 0.3112 0.0844 0.6224
Ru 0.8064 0.3064 0.6129
Ce 0.1086 0.1086 0.2172
Ru 0.1936 0.6936 0.3871
Ru 0.5000 0.2197 0.0000
Ce 0.0000 0.5000 0.0000
Ru 0.5000 0.7803 0.0000
Pu 0.6888 0.4620 0.3776

(3)
The following is a DFT calculation (PBE-GGA) of an optimized crystal structure of Tl2InIr.

As for the density of states at the Fermi level: 2.68 states/eV/f.u. Its size of the total moment is 0.000 μB per atom. The value obtained for the polymorph energy (0 for the lowest one) is 425 meV/atom.

Cell: 4.9804 4.2827 4.2827 Å, 90.00 90.00 90.00°
Element x y z (fractional)
Ir 0.5000 0.0000 0.5000
Tl 0.0000 0.0000 0.0000
In 0.5000 0.5000 0.0000
Tl 0.0000 0.5000 0.5000

(4)
The following is a DFT calculation (PBE-GGA) of an optimized crystal structure of Al2TcCl.

As for the density of states at the Fermi level: 1.98 states/eV/f.u. Its size of the total moment is 0.000 μB per atom. The value obtained for the polymorph energy (0 for the lowest one) is 397 meV/atom. For the uncorrected formation energy, the calculation gives -0.025 eV/atom.

Cell: 7.3872 4.8237 2.7899 Å, 90.04 67.75 131.01°
Element x y z (fractional)
Tc 0.5000 0.5000 0.0000
Al 0.0000 0.0000 0.0000
Al 0.5000 0.0000 0.5000
Cl 0.0000 0.5000 0.5000

(5)
The following is a DFT calculation (PBE-GGA) of an optimized crystal structure of Sm3HoBi2.

As for the density of states at the Fermi level: 7.27 states/eV/f.u. Its size of the total moment is 0.041 μB per atom. The value obtained for the polymorph energy (0 for the lowest one) is 134 meV/atom.

Cell: 4.3902 10.7434 10.2199 Å, 125.29 90.00 101.79°
Element x y z (fractional)
Sm 0.6879 0.3757 0.4830
Sm 0.0547 0.1094 0.4388
Ho 0.8906 0.7813 0.8884
Bi 0.4943 0.9886 0.8317
Sm 0.9453 0.8906 0.5612
Sm 0.3548 0.7096 0.1855
Sm 0.6452 0.2904 0.8145
Ho 0.1094 0.2187 0.1116
Bi 0.5057 0.0114 0.1683
Bi 0.2528 0.5057 0.7815
Bi 0.7472 0.4943 0.2185
Sm 0.3121 0.6243 0.5170

(6)
The following is a DFT calculation (PBE-GGA) of an optimized crystal structure of KCa4Pb15.

As for the density of states at the Fermi level: 12.65 states/eV/f.u. Its size of the total moment is 0.000 μB per atom. The total energy comes out at -3.50 eV/atom.

Cell: 5.0110 5.0110 24.4072 Å, 90.00 90.00 90.00°
Element x y z (fractional)
Pb 0.5000 0.0000 0.3026
Ca 0.0000 0.0000 0.7945
Pb 0.5000 0.0000 0.6974
Pb 0.5000 0.5000 0.7972
Pb 0.0000 0.5000 0.1046
Ca 0.0000 0.0000 0.5986
Pb 0.0000 0.5000 0.6974
Pb 0.0000 0.5000 0.5000
Pb 0.0000 0.5000 0.3026
Pb 0.5000 0.5000 0.0000
Pb 0.5000 0.5000 0.2028
K 0.0000 0.0000 0.0000
Ca 0.0000 0.0000 0.4014
Pb 0.5000 0.0000 0.8954
Pb 0.5000 0.5000 0.5990
Pb 0.0000 0.5000 0.8954
Pb 0.5000 0.0000 0.1046
Pb 0.5000 0.0000 0.5000
Ca 0.0000 0.0000 0.2055
Pb 0.5000 0.5000 0.4010